Record 1
Compound: Tm6Hg5Bi
Source: Alexandria via LeMat-Bulk
Functional: PBE
Structure: relaxed

Output
Calculated total energy ... -75.7 eV/cell
Calculated density ... 12.13 g/cm3

CIF file:
```
data_Tm6Hg5Bi
_chemical_formula_sum 'Tm12 Hg10 Bi2'
_symmetry_space_group_name_H-M 'I m m m'
_symmetry_Int_Tables_number 71
_symmetry_space_group_name_Hall '-I 2 2'
_cell_length_a 5.2270
_cell_length_b 7.4255
_cell_length_c 15.6925
_cell_angle_alpha 90.00
_cell_angle_beta 90.00
_cell_angle_gamma 90.00
loop_
_atom_site_label
_atom_site_type_symbol
_atom_site_fract_x
_atom_site_fract_y
_atom_site_fract_z
Tm1 Tm 0.0000 0.2422 0.0000
Tm2 Tm 0.0000 0.2531 0.3306
Hg1 Hg 0.0000 0.0000 0.1673
Hg2 Hg 0.0000 0.5000 0.1715
Hg3 Hg 0.0000 0.5000 0.5000
Bi1 Bi 0.0000 0.0000 0.5000
```

---

Record 2
Compound: La3Ho2Co2
Source: Alexandria via LeMat-Bulk
Functional: PBE
Structure: relaxed

Output
Calculated total energy ... -38.9 eV/cell
Calculated density ... 7.56 g/cm3

CIF file:
```
data_La3Ho2Co2
_chemical_formula_sum 'La3 Ho2 Co2'
_symmetry_space_group_name_H-M 'P -1'
_symmetry_Int_Tables_number 2
_cell_length_a 3.8127
_cell_length_b 6.3851
_cell_length_c 8.7014
_cell_angle_alpha 100.96
_cell_angle_beta 102.56
_cell_angle_gamma 107.34
loop_
_symmetry_equiv_pos_as_xyz
'x,y,z'
'-x,-y,-z'
loop_
_atom_site_label
_atom_site_type_symbol
_atom_site_fract_x
_atom_site_fract_y
_atom_site_fract_z
La1 La 0.0000 0.0000 0.0000
La2 La 0.3078 0.1945 0.4208
Ho1 Ho 0.1326 0.4525 0.8119
Co1 Co 0.4359 0.1191 0.7519
```

---

Record 3
Compound: CsCoRuN2
Source: Alexandria via LeMat-Bulk
Functional: PBE
Structure: relaxed

Output
Formation energy without anion corrections ... 1.687 eV per atom
Calculated density ... 7.07 g/cm3

CIF file:
```
data_CsCoRuN2
_chemical_formula_sum 'Cs1 Co1 Ru1 N2'
_symmetry_space_group_name_H-M 'P 4/m m m'
_symmetry_Int_Tables_number 123
_symmetry_space_group_name_Hall '-P 4 2'
_cell_length_a 3.7456
_cell_length_b 3.7456
_cell_length_c 5.3723
_cell_angle_alpha 90.00
_cell_angle_beta 90.00
_cell_angle_gamma 90.00
loop_
_atom_site_label
_atom_site_type_symbol
_atom_site_fract_x
_atom_site_fract_y
_atom_site_fract_z
Cs1 Cs 0.0000 0.0000 0.0000
Co1 Co 0.5000 0.5000 0.5000
Ru1 Ru 0.5000 0.5000 0.0000
N1 N 0.0000 0.5000 0.5000
```

---

Record 4
Compound: BaMgAlPt
Source: Alexandria via LeMat-Bulk
Functional: PBE
Structure: relaxed

Output
Calculated total energy ... -47.0 eV/cell
Calculated density ... 5.88 g/cm3

CIF file:
```
data_BaMgAlPt
_chemical_formula_sum 'Ba3 Mg3 Al3 Pt3'
_symmetry_space_group_name_H-M 'R 3 m'
_symmetry_Int_Tables_number 160
_symmetry_space_group_name_Hall 'R 3 -2"'
_cell_length_a 4.4487
_cell_length_b 4.4487
_cell_length_c 18.9658
_cell_angle_alpha 90.00
_cell_angle_beta 90.00
_cell_angle_gamma 120.00
loop_
_atom_site_label
_atom_site_type_symbol
_atom_site_fract_x
_atom_site_fract_y
_atom_site_fract_z
Ba1 Ba 0.0000 0.0000 0.0000
Mg1 Mg 0.0000 0.0000 0.1881
Al1 Al 0.0000 0.0000 0.7946
Pt1 Pt 0.0000 0.0000 0.4681
```

---

Record 5
Compound: TbGaOs2C
Source: Alexandria via LeMat-Bulk
Functional: PBE
Structure: relaxed

Output
Calculated total energy ... -162.6 eV/cell
Calculated density ... 12.77 g/cm3

CIF file:
```
data_TbGaOs2C
_chemical_formula_sum 'Tb4 Ga4 Os8 C4'
_symmetry_space_group_name_H-M 'C m c m'
_symmetry_Int_Tables_number 63
_symmetry_space_group_name_Hall '-C 2c 2'
_cell_length_a 4.0081
_cell_length_b 11.0046
_cell_length_c 7.3220
_cell_angle_alpha 90.00
_cell_angle_beta 90.00
_cell_angle_gamma 90.00
loop_
_atom_site_label
_atom_site_type_symbol
_atom_site_fract_x
_atom_site_fract_y
_atom_site_fract_z
Tb1 Tb 0.0000 0.0475 0.2500
Ga1 Ga 0.0000 0.2326 0.7500
Os1 Os 0.0000 0.3340 0.0614
C1 C 0.0000 0.5000 0.0000
```

---

Record 6
Compound: LiCuPd3
Source: Alexandria via LeMat-Bulk
Functional: PBE
Structure: relaxed

Output
Excess energy over the best structure of this formula in the dataset ... 592 meV/atom
Calculated density ... 8.62 g/cm3

CIF file:
```
data_LiCuPd3
_chemical_formula_sum 'Li1 Cu1 Pd3'
_symmetry_space_group_name_H-M 'P m -3 m'
_symmetry_Int_Tables_number 221
_symmetry_space_group_name_Hall '-P 4 2 3'
_cell_length_a 4.2179
_cell_length_b 4.2179
_cell_length_c 4.2179
_cell_angle_alpha 90.00
_cell_angle_beta 90.00
_cell_angle_gamma 90.00
loop_
_atom_site_label
_atom_site_type_symbol
_atom_site_fract_x
_atom_site_fract_y
_atom_site_fract_z
Li1 Li 0.0000 0.0000 0.0000
Cu1 Cu 0.5000 0.5000 0.5000
Pd1 Pd 0.0000 0.0000 0.5000
```

---

Record 7
Compound: UIn2Au
Source: Alexandria via LeMat-Bulk
Functional: PBE
Structure: relaxed

Output
Calculated total energy ... -19.9 eV/cell
Calculated density ... 12.76 g/cm3

CIF file:
```
data_UIn2Au
_chemical_formula_sum 'U1 In2 Au1'
_symmetry_space_group_name_H-M 'P 4/m m m'
_symmetry_Int_Tables_number 123
_symmetry_space_group_name_Hall '-P 4 2'
_cell_length_a 3.0452
_cell_length_b 3.0452
_cell_length_c 9.3303
_cell_angle_alpha 90.00
_cell_angle_beta 90.00
_cell_angle_gamma 90.00
loop_
_atom_site_label
_atom_site_type_symbol
_atom_site_fract_x
_atom_site_fract_y
_atom_site_fract_z
U1 U 0.0000 0.0000 0.0000
In1 In 0.5000 0.5000 0.2703
Au1 Au 0.0000 0.0000 0.5000
```

---

Record 8
Compound: Tl5BF8
Source: Alexandria via LeMat-Bulk
Functional: PBE
Structure: relaxed

Output
Formation energy without anion corrections ... -2.139 eV per atom
Calculated density ... 6.16 g/cm3

CIF file:
```
data_Tl5BF8
_chemical_formula_sum 'Tl10 B2 F16'
_symmetry_space_group_name_H-M 'I -4 m 2'
_symmetry_Int_Tables_number 119
_symmetry_space_group_name_Hall 'I -4 -2'
_cell_length_a 7.6377
_cell_length_b 7.6377
_cell_length_c 10.9482
_cell_angle_alpha 90.00
_cell_angle_beta 90.00
_cell_angle_gamma 90.00
loop_
_atom_site_label
_atom_site_type_symbol
_atom_site_fract_x
_atom_site_fract_y
_atom_site_fract_z
Tl1 Tl 0.0000 0.0000 0.0000
Tl2 Tl 0.0000 0.2443 0.6239
B1 B 0.0000 0.5000 0.2500
F1 F 0.0000 0.2868 0.8553
F2 F 0.0000 0.3479 0.3251
```

---

Record 9
Compound: Pa3RhS6
Source: Alexandria via LeMat-Bulk
Functional: PBE
Structure: relaxed

Output
Excess energy over the best structure of this formula in the dataset ... 0 meV/atom
Formation energy without anion corrections ... -1.460 eV per atom
Calculated density ... 7.57 g/cm3

CIF file:
```
data_Pa3RhS6
_chemical_formula_sum 'Pa12 Rh4 S24'
_symmetry_space_group_name_H-M 'C m c 21'
_symmetry_Int_Tables_number 36
_cell_length_a 10.7622
_cell_length_b 12.8420
_cell_length_c 6.2749
_cell_angle_alpha 90.00
_cell_angle_beta 90.00
_cell_angle_gamma 90.00
loop_
_symmetry_equiv_pos_as_xyz
'x,y,z'
'-x,-y,z+1/2'
'-x,y,z'
'x,-y,z+1/2'
'x+1/2,y+1/2,z'
'-x+1/2,-y+1/2,z+1/2'
'-x+1/2,y+1/2,z'
'x+1/2,-y+1/2,z+1/2'
loop_
_atom_site_label
_atom_site_type_symbol
_atom_site_fract_x
_atom_site_fract_y
_atom_site_fract_z
Pa1 Pa 0.0000 0.1120 0.0000
Pa2 Pa 0.1671 0.3981 0.9015
Rh1 Rh 0.0000 0.3064 0.3013
S1 S 0.0000 0.2696 0.6986
S2 S 0.0000 0.4783 0.1829
S3 S 0.1629 0.0329 0.6998
S4 S 0.1826 0.2308 0.1666
```

---

Record 10
Compound: Na2TlSb4
Source: Alexandria via LeMat-Bulk
Functional: PBE
Structure: relaxed

Output
Formation energy without anion corrections ... -0.176 eV per atom
Calculated density ... 5.57 g/cm3

CIF file:
```
data_Na2TlSb4
_chemical_formula_sum 'Na4 Tl2 Sb8'
_symmetry_space_group_name_H-M 'P b a m'
_symmetry_Int_Tables_number 55
_cell_length_a 9.4404
_cell_length_b 10.8076
_cell_length_c 4.3088
_cell_angle_alpha 90.00
_cell_angle_beta 90.00
_cell_angle_gamma 90.00
loop_
_symmetry_equiv_pos_as_xyz
'x,y,z'
'-x,-y,-z'
'-x,-y,z'
'x,y,-z'
'x+1/2,-y+1/2,-z'
'-x+1/2,y+1/2,z'
'-x+1/2,y+1/2,-z'
'x+1/2,-y+1/2,z'
loop_
_atom_site_label
_atom_site_type_symbol
_atom_site_fract_x
_atom_site_fract_y
_atom_site_fract_z
Na1 Na 0.2045 0.0170 0.0000
Tl1 Tl 0.0000 0.5000 0.5000
Sb1 Sb 0.0290 0.7565 0.0000
Sb2 Sb 0.2381 0.7601 0.5000
```

---

Record 11
Compound: La2Pr6Ho3
Source: Alexandria via LeMat-Bulk
Functional: PBE
Structure: relaxed

Output
Excess energy over the best structure of this formula in the dataset ... 0 meV/atom
Calculated density ... 6.66 g/cm3

CIF file:
```
data_La2Pr6Ho3
_chemical_formula_sum 'La4 Pr12 Ho6'
_symmetry_space_group_name_H-M 'C 1 2/m 1'
_symmetry_Int_Tables_number 12
_cell_length_a 6.2808
_cell_length_b 10.8934
_cell_length_c 11.9805
_cell_angle_alpha 90.00
_cell_angle_beta 100.20
_cell_angle_gamma 90.00
loop_
_symmetry_equiv_pos_as_xyz
'x,y,z'
'-x,-y,-z'
'-x,y,-z'
'x,-y,z'
'x+1/2,y+1/2,z'
'-x+1/2,-y+1/2,-z'
'-x+1/2,y+1/2,-z'
'x+1/2,-y+1/2,z'
loop_
_atom_site_label
_atom_site_type_symbol
_atom_site_fract_x
_atom_site_fract_y
_atom_site_fract_z
La1 La 0.0000 0.1667 0.0000
Pr1 Pr 0.2480 0.5000 0.7457
Pr2 Pr 0.2492 0.1662 0.7455
Ho1 Ho 0.0000 0.0000 0.5000
Ho2 Ho 0.0000 0.3346 0.5000
```

---

Record 12
Compound: ReGeF2
Source: Alexandria via LeMat-Bulk
Functional: PBE
Structure: relaxed

Output
Excess energy over the best structure of this formula in the dataset ... 455 meV/atom
Formation energy without anion corrections ... -0.445 eV per atom
Calculated density ... 9.30 g/cm3

CIF file:
```
data_ReGeF2
_chemical_formula_sum 'Re3 Ge3 F6'
_symmetry_space_group_name_H-M 'R -3 m'
_symmetry_Int_Tables_number 166
_symmetry_space_group_name_Hall '-R 3 2"'
_cell_length_a 2.7125
_cell_length_b 2.7125
_cell_length_c 24.9465
_cell_angle_alpha 90.00
_cell_angle_beta 90.00
_cell_angle_gamma 120.00
loop_
_atom_site_label
_atom_site_type_symbol
_atom_site_fract_x
_atom_site_fract_y
_atom_site_fract_z
Re1 Re 0.0000 0.0000 0.0000
Ge1 Ge 0.0000 0.0000 0.5000
F1 F 0.0000 0.0000 0.4163
```